MnTl2SeO4 PBE with a Hubbard U optimized geometry; total energy = -83.0 eV for the cell shown
1.0
5.856 0.000 0.000
2.928 6.337 0.000
2.928 0.000 9.575
Mn Tl Se O
2 4 2 8
direct
0.750 0.500 0.500 Mn
0.000 0.000 0.000 Mn
0.177 0.000 0.645 Tl
0.823 0.000 0.355 Tl
0.573 0.500 0.855 Tl
0.927 0.500 0.145 Tl
0.250 0.500 0.500 Se
0.500 0.000 0.000 Se
0.159 0.020 0.136 O
0.315 0.980 0.864 O
0.821 0.020 0.864 O
0.705 0.980 0.136 O
0.591 0.480 0.364 O
0.435 0.520 0.636 O
0.929 0.480 0.636 O
0.045 0.520 0.364 O